VASP calculation (PBE) on a relaxed structure of MgOs.

Lattice parameters (Å, degrees): 4.5253 8.4490 4.9735 90.00 90.00 90.00
Fractional positions:
Mg (0.0000, 0.0820, 0.0000)
Mg (0.0000, 0.4100, 0.0465)
Mg (0.0000, 0.5900, 0.5465)
Mg (0.0000, 0.9180, 0.5000)
Mg (0.5000, 0.1073, 0.3182)
Mg (0.5000, 0.8927, 0.8182)
Os (0.0000, 0.2537, 0.5448)
Os (0.0000, 0.7463, 0.0448)
Os (0.5000, 0.2625, 0.8037)
Os (0.5000, 0.4354, 0.3458)
Os (0.5000, 0.5646, 0.8458)
Os (0.5000, 0.7375, 0.3037)

Symmetry: Pmc2_1
Uncorrected energy: -6.15 eV/atom


VASP calculation (PBE) on a relaxed structure of Sm3PS2.

Lattice parameters (Å, degrees): 7.0173 7.0173 7.0173 146.59 132.03 59.72
Fractional positions:
Sm (0.0000, 0.0000, 0.0000)
Sm (0.3382, 0.3382, 0.0000)
Sm (0.6618, 0.6618, 0.0000)
P (0.5000, 0.0000, 0.5000)
S (0.1673, 0.6673, 0.5000)
S (0.8327, 0.3327, 0.5000)

Symmetry: Immm
Uncorrected energy: -6.57 eV/atom


VASP calculation (PBE) on a relaxed structure of InBi2Mo.

Lattice parameters (Å, degrees): 5.1575 5.1575 5.1575 60.00 60.00 60.00
Fractional positions:
In (0.0000, 0.0000, 0.0000)
Bi (0.5000, 0.5000, 0.5000)
Bi (0.7500, 0.7500, 0.7500)
Mo (0.2500, 0.2500, 0.2500)

Symmetry: F-43m
Uncorrected energy: -4.63 eV/atom


VASP calculation (PBE) on a relaxed structure of Sn2Pt2Pb2Au.

Lattice parameters (Å, degrees): 9.9138 9.9138 9.9138 26.14 26.14 26.14
Fractional positions:
Sn (0.1154, 0.1154, 0.1154)
Sn (0.8846, 0.8846, 0.8846)
Pt (0.4050, 0.4050, 0.4050)
Pt (0.5950, 0.5950, 0.5950)
Pb (0.2991, 0.2991, 0.2991)
Pb (0.7009, 0.7009, 0.7009)
Au (0.5000, 0.5000, 0.5000)

Symmetry: R-3m
Uncorrected energy: -4.66 eV/atom


VASP calculation (PBE) on a relaxed structure of SrCdIn.

Lattice parameters (Å, degrees): 6.4297 6.4297 8.0431 128.30 128.30 46.36
Fractional positions:
Sr (0.0392, 0.0392, 0.2915)
Sr (0.9608, 0.9608, 0.7085)
Cd (0.3365, 0.3365, 0.2864)
Cd (0.6635, 0.6635, 0.7136)
In (0.3359, 0.3359, 0.8868)
In (0.6641, 0.6641, 0.1132)

Symmetry: C2/m
Uncorrected energy: -2.19 eV/atom


VASP calculation (PBE) on a relaxed structure of RbCuTePd.

Lattice parameters (Å, degrees): 5.1068 5.1068 5.1068 60.00 60.00 60.00
Fractional positions:
Rb (0.0000, 0.0000, 0.0000)
Cu (0.7500, 0.7500, 0.7500)
Te (0.2500, 0.2500, 0.2500)
Pd (0.5000, 0.5000, 0.5000)

Symmetry: F-43m
Uncorrected energy: -2.96 eV/atom


VASP calculation (PBE) on a relaxed structure of Zr6HgPb.

Lattice parameters (Å, degrees): 5.6357 5.6357 5.6357 90.00 90.00 90.00
Fractional positions:
Zr (0.0000, 0.2536, 0.5000)
Zr (0.0000, 0.7464, 0.5000)
Zr (0.2536, 0.5000, 0.0000)
Zr (0.5000, 0.0000, 0.2536)
Zr (0.5000, 0.0000, 0.7464)
Zr (0.7464, 0.5000, 0.0000)
Hg (0.5000, 0.5000, 0.5000)
Pb (0.0000, 0.0000, 0.0000)

Symmetry: Pm-3
Uncorrected energy: -7.09 eV/atom


VASP calculation (PBE) on a relaxed structure of NpTlGa.

Lattice parameters (Å, degrees): 4.9019 4.9019 4.9019 60.00 60.00 60.00
Fractional positions:
Np (0.0000, 0.0000, 0.0000)
Tl (0.2500, 0.2500, 0.2500)
Ga (0.7500, 0.7500, 0.7500)

Symmetry: F-43m
Uncorrected energy: -5.50 eV/atom


Q: What is the uncorrected energy in the first record?
A: -6.15 eV/atom


Q: Which value of uncorrected energy does entry 6 give?
A: -2.96 eV/atom


Q: uncorrected energy of number 8 (NpTlGa)?
A: -5.50 eV/atom


Q: Among the records above, which one has the highest uncorrected energy?
A: SrCdIn